Record 1
Computed, not measured: a relaxed structure of Gd2LuTl at the PBE-GGA level of DFT.

Summary:
symmetry: No. 166
formation energy from the elements: 78 meV per atom
calculated volume: 129 Å³/cell

Structure (extended XYZ):
```
4
Lattice="-3.396 0.573 -0.730 -1.501 -1.591 -2.759 -4.705 -9.612 5.854" Properties=species:S:1:pos:R:3 pbc="T T T"
Gd -3.880 -7.123 3.971
Gd -5.722 -3.507 -1.605
Tl 0.000 0.000 0.000
Lu -4.801 -5.315 1.183
```



Record 2
Computed, not measured: a relaxed structure of GdLu2Tl at the PBE-GGA level of DFT.

Summary:
symmetry: No. 123
formation energy from the elements: -152 meV per atom
calculated volume: 115 Å³/cell

Structure (extended XYZ):
```
4
Lattice="-1.541 -2.641 1.859 3.045 -1.873 -0.137 2.691 3.815 7.650" Properties=species:S:1:pos:R:3 pbc="T T T"
Gd 2.098 -0.349 4.686
Tl 0.752 -2.257 0.861
Lu 2.078 2.947 5.909
Lu 0.612 0.868 1.741
```



Record 3
Computed, not measured: a relaxed structure of GdLuTl2 at the PBE-GGA level of DFT.

Summary:
symmetry: No. 123
formation energy from the elements: -321 meV per atom
calculated volume: 108 Å³/cell

Structure (extended XYZ):
```
4
Lattice="4.299 0.000 0.000 0.000 5.009 0.000 0.000 0.000 5.009" Properties=species:S:1:pos:R:3 pbc="T T T"
Gd 2.150 0.000 0.000
Tl 0.000 0.000 2.505
Tl 0.000 2.505 0.000
Lu 2.150 2.505 2.505
```



Record 4
Computed, not measured: a relaxed structure of Gd2LuTl at the PBE-GGA level of DFT.

Summary:
symmetry: No. 123
formation energy from the elements: -205 meV per atom
calculated volume: 114 Å³/cell

Structure (extended XYZ):
```
4
Lattice="-3.806 -0.445 -3.035 -1.875 -3.407 2.851 -2.375 3.384 2.482" Properties=species:S:1:pos:R:3 pbc="T T T"
Gd -1.187 1.692 1.241
Gd -0.937 -1.703 1.425
Tl -1.903 -0.223 -1.517
Lu -4.028 -0.234 1.149
```



Record 5
Computed, not measured: a relaxed structure of GdLu2Tl at the PBE-GGA level of DFT.

Summary:
symmetry: No. 123
formation energy from the elements: -174 meV per atom
calculated volume: 111 Å³/cell

Structure (extended XYZ):
```
4
Lattice="4.757 0.000 0.000 0.000 4.823 0.000 0.000 0.000 4.823" Properties=species:S:1:pos:R:3 pbc="T T T"
Gd 2.379 2.411 2.411
Tl 2.379 0.000 0.000
Lu 0.000 0.000 2.411
Lu 0.000 2.411 0.000
```



Record 6
Computed, not measured: a relaxed structure of GdLu2Tl at the PBE-GGA level of DFT.

Summary:
symmetry: No. 225
formation energy from the elements: 16 meV per atom
calculated volume: 111 Å³/cell

Structure (extended XYZ):
```
4
Lattice="-1.072 3.363 4.074 -0.390 -1.898 5.030 3.824 1.153 3.620" Properties=species:S:1:pos:R:3 pbc="T T T"
Gd 0.000 0.000 0.000
Tl 1.181 1.309 6.362
Lu 0.591 0.655 3.181
Lu 1.772 1.964 9.542
```